Entry w
DFT (PBE) results for HoZr2Al after structural relaxation.

Geometry as extended XYZ:
```
4
Lattice="5.010 0.000 0.000 2.505 4.339 0.000 2.505 1.446 4.091" Properties=species:S:1:pos:R:3 pbc="T T T"
Ho 5.010 2.892 2.045
Zr 7.515 4.339 3.067
Zr 2.505 1.446 1.023
Al 0.000 0.000 0.000
```

## Properties
* DOS at the Fermi energy: 1.97 states/eV/f.u.

---

Entry x
DFT (PBE) results for HoZr2Al after structural relaxation.

Geometry as extended XYZ:
```
8
Lattice="4.241 0.000 0.000 0.000 4.316 -0.850 0.000 -0.126 10.614" Properties=species:S:1:pos:R:3 pbc="T T T"
Ho 1.060 1.258 6.258
Ho 3.181 2.932 3.505
Zr 3.181 1.798 8.996
Zr 1.060 2.392 0.767
Zr 1.060 3.968 8.631
Zr 3.181 0.222 1.133
Al 3.181 3.561 6.557
Al 1.060 0.629 3.207
```

## Properties
* DOS at the Fermi energy: 4.74 states/eV/f.u.

---

Of them, the most stable is entry x and the least stable is entry w.

---

Entry w
DFT (PBE) results for HoZr2Al6 after structural relaxation.

Geometry as extended XYZ:
```
9
Lattice="-0.761 3.421 2.385 -0.041 -2.473 7.302 5.744 0.326 5.132" Properties=species:S:1:pos:R:3 pbc="T T T"
Ho 0.000 0.000 0.000
Zr 2.849 1.695 9.780
Zr 2.094 -0.420 5.039
Al 2.944 2.521 4.858
Al 1.998 -1.246 9.960
Al 5.404 0.402 8.683
Al 1.386 0.113 7.816
Al 3.556 1.162 7.002
Al -0.462 0.873 6.136
```

## Properties
* DOS at the Fermi energy: 4.54 states/eV/f.u.

---

Entry x
DFT (PBE) results for HoZr2Al6 after structural relaxation.

Geometry as extended XYZ:
```
9
Lattice="-0.052 -2.678 1.846 -2.171 -4.204 -6.162 7.545 0.950 1.591" Properties=species:S:1:pos:R:3 pbc="T T T"
Ho 7.545 0.950 1.591
Zr 4.306 -0.768 -0.993
Zr 1.016 -5.164 -1.732
Al 1.780 -2.433 -0.613
Al 3.542 -3.500 -2.112
Al 4.983 -0.708 1.979
Al 6.077 -3.181 -1.577
Al -0.755 -2.752 -1.148
Al 2.509 -1.020 1.458
```

## Properties
* DOS at the Fermi energy: 4.79 states/eV/f.u.

---

Of them, the most stable is entry x and the least stable is entry w.

---

Entry w
DFT (PBE) results for AlI4 after structural relaxation.

Geometry as extended XYZ:
```
10
Lattice="9.204 0.000 0.000 0.000 9.204 0.000 0.000 0.000 5.772" Properties=species:S:1:pos:R:3 pbc="T T T"
Al 4.602 4.602 2.886
Al 0.000 0.000 0.000
I 0.017 2.119 1.436
I 6.721 4.619 4.322
I 2.483 4.585 4.322
I 7.085 0.017 4.335
I 4.619 2.483 1.450
I 4.585 6.721 1.450
I 9.187 7.085 1.436
I 2.119 9.187 4.335
```

## Properties
* DOS at the Fermi energy: 10.80 states/eV/f.u.

---

Entry x
DFT (PBE) results for AlI4 after structural relaxation.

Geometry as extended XYZ:
```
10
Lattice="-1.350 1.694 -6.756 -0.135 -6.773 2.106 -12.211 -0.097 1.582" Properties=species:S:1:pos:R:3 pbc="T T T"
Al -1.142 0.246 -5.241
Al -0.342 -5.326 0.591
I -5.747 -3.095 -2.169
I -11.431 -5.219 -0.342
I -2.264 0.042 -2.726
I -7.948 -2.081 -0.899
I -1.827 -3.002 0.459
I -2.789 -4.212 -3.642
I -11.868 -2.175 -3.528
I -10.906 -0.964 0.574
```

---

Of them, the most stable is entry x and the least stable is entry w.